1.
The following is a PBE calculation of a relaxed structure of NdEr2Sn9, from the Alexandria database.

energy of formation	-0.424	eV per atom
space group	P4/mmm (123)
total magnetic moment	0.00	μB per cell
crystal system	tetragonal

Cell lengths 4.8055, 4.8055, 13.7197 Å; angles 90.00, 90.00, 90.00 degrees
Fractional positions:
Nd: 0.0000 0.0000 0.0000
Er: 0.0000 0.0000 0.3347
Er: 0.0000 0.0000 0.6653
Sn: 0.0000 0.5000 0.8285
Sn: 0.0000 0.5000 0.5000
Sn: 0.0000 0.5000 0.1715
Sn: 0.5000 0.0000 0.8285
Sn: 0.5000 0.5000 0.6643
Sn: 0.5000 0.0000 0.1715
Sn: 0.5000 0.5000 0.3357
Sn: 0.5000 0.0000 0.5000
Sn: 0.5000 0.5000 0.0000

***

2.
The following is a PBE calculation of a relaxed structure of KLiUN3, from the Alexandria database.

uncorrected formation energy	-0.675	eV/atom
space group	P2_1/m (11)
total magnetic moment	0.00	μB per cell
crystal system	monoclinic

Cell lengths 3.6525, 7.6106, 7.7006 Å; angles 110.24, 90.00, 90.00 degrees
Fractional positions:
N: 0.7500 0.1949 0.5888
N: 0.7500 0.4724 0.1261
N: 0.7500 0.8417 0.1303
N: 0.2500 0.5276 0.8739
N: 0.2500 0.1583 0.8697
N: 0.2500 0.8051 0.4112
U: 0.7500 0.3097 0.8569
U: 0.2500 0.6903 0.1431
Li: 0.2500 0.0728 0.5920
Li: 0.7500 0.9272 0.4080
K: 0.2500 0.2314 0.2672
K: 0.7500 0.7686 0.7328

***

3.
The following is a PBE calculation of a relaxed structure of ZnOsPt2, from the Alexandria database.

energy of formation	0.063	eV per atom
space group	Imm2 (44)
total magnetic moment	0.62	μB per cell
crystal system	orthorhombic

Cell lengths 5.4195, 5.4195, 5.4195 Å; angles 150.72, 128.37, 60.47 degrees
Each line ends with the local moment (μB).
Fractional positions:
Pt: 0.9927 0.9927 0.0000  0.10
Pt: 0.2592 0.7592 0.5000  0.07
Os: 0.7467 0.2467 0.5000  0.44
Zn: 0.5014 0.5014 0.0000  0.00

***

4.
The following is a PBE calculation of a relaxed structure of Y2LuRh, from the Alexandria database.

energy of formation	-0.094	eV per atom
relative energy among the computed polymorphs	276	meV/atom
space group	R-3m (166)
total magnetic moment	0.02	μB per cell
crystal system	trigonal

Cell lengths 3.5523, 3.5523, 10.6902 Å; angles 80.44, 80.44, 60.00 degrees
Fractional positions:
Lu: 0.0000 0.0000 0.0000
Y: 0.1073 0.1073 0.6780
Y: 0.8927 0.8927 0.3220
Rh: 0.5000 0.5000 0.5000

***

5.
The following is a PBE calculation of a relaxed structure of ReRuAu2, from the Alexandria database.

energy of formation	0.293	eV per atom
relative energy among the computed polymorphs	133	meV/atom
space group	Pm (6)
total magnetic moment	0.00	μB per cell
crystal system	monoclinic

Cell lengths 3.8751, 2.8457, 6.5115 Å; angles 63.96, 90.00, 90.00 degrees
Fractional positions:
Re: 0.0000 0.4724 0.5279
Au: 0.0000 0.0046 0.9954
Au: 0.5000 0.2438 0.2564
Ru: 0.5000 0.7792 0.7203

***

6.
The following is a PBE calculation of a relaxed structure of TbNd7Y4, from the Alexandria database.

energy of formation	0.003	eV per atom
relative energy among the computed polymorphs	0	meV/atom
space group	P-1 (2)
total magnetic moment	0.00	μB per cell
crystal system	triclinic

Cell lengths 7.3299, 9.7030, 9.0409 Å; angles 81.11, 89.97, 40.94 degrees
Fractional positions:
Nd: 0.5000 0.0000 0.0000
Nd: 0.9707 0.2787 0.6658
Nd: 0.0293 0.7213 0.3342
Nd: 0.7527 0.4992 0.0005
Nd: 0.2473 0.5008 0.9995
Nd: 0.7794 0.2210 0.3337
Nd: 0.2206 0.7790 0.6663
Y: 0.2796 0.2205 0.3346
Y: 0.5305 0.7215 0.3326
Y: 0.7204 0.7795 0.6654
Y: 0.4695 0.2785 0.6674
Tb: 0.0000 0.0000 0.0000

***

7.
The following is a PBE calculation of a relaxed structure of Er2ScTl4, from the Alexandria database.

energy of formation	0.008	eV per atom
relative energy among the computed polymorphs	200	meV/atom
space group	R-3m (166)
total magnetic moment	0.00	μB per cell
crystal system	trigonal

Cell lengths 4.8304, 4.8304, 10.2390 Å; angles 76.36, 76.36, 60.00 degrees
Fractional positions:
Tl: 0.3779 0.3779 0.8662
Tl: 0.6221 0.6221 0.1338
Tl: 0.2445 0.2445 0.2664
Tl: 0.7555 0.7555 0.7336
Er: 0.1287 0.1287 0.6138
Er: 0.8713 0.8713 0.3862
Sc: 0.0000 0.0000 0.0000

***

8.
The following is a PBE calculation of a relaxed structure of Ac2PrTm2, from the Alexandria database.

energy of formation	0.379	eV per atom
space group	I-42d (122)
total magnetic moment	0.00	μB per cell
crystal system	tetragonal

Cell lengths 8.5693, 8.5693, 8.5693 Å; angles 136.95, 97.74, 97.74 degrees
Fractional positions:
Tm: 0.9204 0.0454 0.6250
Tm: 0.5796 0.8750 0.9546
Tm: 0.4204 0.3750 0.2954
Tm: 0.0796 0.7046 0.1250
Ac: 0.2676 0.8750 0.6426
Ac: 0.7324 0.3750 0.6074
Ac: 0.2324 0.3574 0.6250
Ac: 0.7676 0.3926 0.1250
Pr: 0.0000 0.0000 0.0000
Pr: 0.5000 0.7500 0.2500

***

Number 6 is which compound?
TbNd7Y4

***

The highest total magnetic moment belongs to which entry?
ZnOsPt2

***

Look up the total magnetic moment of the eighth one.
0.00 μB per cell

***

Repeat the first record exactly.
The following is a PBE calculation of a relaxed structure of NdEr2Sn9, from the Alexandria database.

energy of formation	-0.424	eV per atom
space group	P4/mmm (123)
total magnetic moment	0.00	μB per cell
crystal system	tetragonal

Cell lengths 4.8055, 4.8055, 13.7197 Å; angles 90.00, 90.00, 90.00 degrees
Fractional positions:
Nd: 0.0000 0.0000 0.0000
Er: 0.0000 0.0000 0.3347
Er: 0.0000 0.0000 0.6653
Sn: 0.0000 0.5000 0.8285
Sn: 0.0000 0.5000 0.5000
Sn: 0.0000 0.5000 0.1715
Sn: 0.5000 0.0000 0.8285
Sn: 0.5000 0.5000 0.6643
Sn: 0.5000 0.0000 0.1715
Sn: 0.5000 0.5000 0.3357
Sn: 0.5000 0.0000 0.5000
Sn: 0.5000 0.5000 0.0000